A plane-wave DFT calculation with PBE was carried out for a relaxed structure of BaLiZnPb2.

* spin magnetization: 0.0 μB/f.u.
* formation enthalpy at 0 K: -0.356 eV/atom
* uncorrected energy: -14.308 eV/cell
* SG: I-4m2 (119)

POSCAR file:
```
BaLiZnPb2
1.0
-2.432 2.432 6.083
2.432 -2.432 6.083
2.432 2.432 -6.083
Ba Li Zn Pb
1 1 1 2
Cartesian
0.000 0.000 0.000
0.000 2.432 3.042
2.432 0.000 3.042
0.000 0.000 4.538
0.000 0.000 7.629
```

A plane-wave DFT calculation with PBE was carried out for a relaxed structure of TiBeRh3.

* spin magnetization: 0.0 μB/f.u.
* formation enthalpy at 0 K: 0.818 eV/atom
* uncorrected energy: -29.584 eV/cell
* distance to the lowest polymorph of the same formula: 1147 meV/atom
* SG: Pm-3m (221)

POSCAR file:
```
TiBeRh3
1.0
4.491 0.000 0.000
0.000 4.491 0.000
0.000 0.000 4.491
Ti Be Rh
1 1 3
Cartesian
0.000 0.000 0.000
2.246 2.246 2.246
0.000 0.000 2.246
0.000 2.246 0.000
2.246 0.000 0.000
```

A plane-wave DFT calculation with PBE was carried out for a relaxed structure of In2RuCl2.

* spin magnetization: 2.1 μB/f.u.
* uncorrected energy: -35.267 eV/cell
* distance to the lowest polymorph of the same formula: 0 meV/atom
* SG: P4/mbm (127)

POSCAR file:
```
In2RuCl2
1.0
7.569 0.000 0.000
0.000 7.569 0.000
0.000 0.000 4.921
In Ru Cl
4 2 4
Cartesian
1.630 2.155 0.000
2.155 5.939 0.000
5.415 1.630 0.000
5.939 5.415 0.000
0.000 0.000 0.000
3.785 3.785 0.000
1.236 5.021 2.461
2.549 1.236 2.461
5.021 6.334 2.461
6.334 2.549 2.461
```

A plane-wave DFT calculation with PBE was carried out for a relaxed structure of LaCePdAu.

* spin magnetization: 1.0 μB/f.u.
* formation enthalpy at 0 K: -0.725 eV/atom
* uncorrected energy: -22.230 eV/cell
* distance to the lowest polymorph of the same formula: 0 meV/atom
* SG: Amm2 (38)

POSCAR file:
```
LaCePdAu
1.0
4.709 0.000 0.000
0.000 1.961 5.639
0.000 -1.961 5.639
La Ce Pd Au
1 1 1 1
Cartesian
0.000 0.000 0.000
2.355 0.000 8.171
0.000 0.000 3.034
2.355 0.000 5.000
```